Computed, not measured: an optimized crystal structure of PmPr2YMg at the PBE level of DFT.

Properties
Spin magnetization, μB/f.u.: 0.00
Space-group type: No. 51
Electronic total energy, eV/atom: -4.32
E_form, eV/atom: 0.149

Cell: 7.3373 7.5448 6.0453 Å, 90.00 90.00 90.00°
Closest atoms and distances in Å follow each position.
Fractional coordinates of all 10 atoms:
Pm 0.1595 0.5000 0.7500  6 Pr 3.60-3.79, 2 Pm 3.82
Pm 0.8405 0.5000 0.2500  6 Pr 3.60-3.79, 2 Pm 3.82
Pr 0.6933 0.7162 0.7500  1 Y 3.18, 1 Pr 3.26, 2 Mg 3.45
Pr 0.6933 0.2838 0.7500  1 Y 3.18, 1 Pr 3.26, 2 Mg 3.45
Pr 0.3067 0.7162 0.2500  1 Y 3.18, 1 Pr 3.26, 2 Mg 3.45
Pr 0.3067 0.2838 0.2500  1 Y 3.18, 1 Pr 3.26, 2 Mg 3.45
Y 0.6278 0.0000 0.2500  2 Mg 3.12, 2 Pr 3.18
Y 0.3722 0.0000 0.7500  2 Mg 3.12, 2 Pr 3.18
Mg 0.0000 0.0000 0.0000  2 Mg 3.02, 2 Y 3.12
Mg 0.0000 0.0000 0.5000  2 Mg 3.02, 2 Y 3.12


Computed, not measured: an optimized crystal structure of Pm4Pr2YMg at the PBE level of DFT.

Properties
Spin magnetization, μB/f.u.: 0.00
Space-group type: No. 123
Electronic total energy, eV/atom: -4.56
E_form, eV/atom: 0.013

Cell: 5.0732 5.0786 11.4724 Å, 63.72 90.00 90.00°
Closest atoms and distances in Å follow each position.
Fractional coordinates of all 8 atoms:
Pm 0.0000 0.7473 0.7526  4 Pm 3.59, 2 Mg 3.59, 4 Pr 3.59-3.63, 2 Y 3.63
Pm 0.0000 0.2527 0.2474  4 Pm 3.59, 2 Mg 3.59, 4 Pr 3.59-3.63, 2 Y 3.63
Pm 0.5000 0.7525 0.2476  4 Pm 3.59, 4 Pr 3.60-3.63, 2 Mg 3.60, 2 Y 3.63
Pm 0.5000 0.2475 0.7524  4 Pm 3.59, 4 Pr 3.60-3.63, 2 Mg 3.60, 2 Y 3.63
Pr 0.0000 0.0000 0.0000  4 Mg 3.59, 8 Pm 3.59-3.60
Pr 0.5000 0.0000 0.5000  4 Y 3.59, 8 Pm 3.63
Y 0.0000 0.5000 0.5000  4 Pr 3.59, 8 Pm 3.63
Mg 0.5000 0.5000 0.0000  4 Pr 3.59, 8 Pm 3.59-3.60


Computed, not measured: an optimized crystal structure of Pm4PrY2Mg at the PBE level of DFT.

Properties
Spin magnetization, μB/f.u.: 0.00
Space-group type: No. 123
Electronic total energy, eV/atom: -4.72
E_form, eV/atom: 0.066

Cell: 5.8798 9.6107 5.8725 Å, 52.34 90.00 90.00°
Closest atoms and distances in Å follow each position.
Fractional coordinates of all 8 atoms:
Pm 0.0000 0.7421 0.7582  2 Pr 3.46-3.47, 2 Mg 3.47, 4 Y 3.53, 1 Pm 3.68
Pm 0.0000 0.2579 0.2418  2 Pr 3.46-3.47, 2 Mg 3.47, 4 Y 3.53, 1 Pm 3.68
Pm 0.5000 0.7426 0.2571  2 Mg 3.47, 2 Pr 3.47, 4 Y 3.53, 1 Pm 3.69
Pm 0.5000 0.2574 0.7429  2 Mg 3.47, 2 Pr 3.47, 4 Y 3.53, 1 Pm 3.69
Pr 0.0000 0.5000 0.5000  8 Pm 3.46-3.47, 2 Y 3.80
Y 0.0000 0.0000 0.0000  8 Pm 3.53, 2 Pr 3.80
Y 0.5000 0.0000 0.5000  8 Pm 3.53, 2 Mg 3.80
Mg 0.5000 0.5000 0.0000  8 Pm 3.47, 2 Y 3.80


Computed, not measured: an optimized crystal structure of Pm6PrY2Mg at the PBE level of DFT.

Properties
Spin magnetization, μB/f.u.: 0.00
Space-group type: No. 15
Electronic total energy, eV/atom: -4.68
E_form, eV/atom: 0.101

Cell: 9.5237 8.6256 8.6256 Å, 105.63 96.88 96.88°
Closest atoms and distances in Å follow each position.
Fractional coordinates of all 20 atoms:
Pm 0.0760 0.0775 0.7345  3 Pm 3.37-3.53, 1 Y 3.43, 1 Mg 3.62, 2 Pr 3.72
Pm 0.4240 0.2655 0.9225  3 Pm 3.37-3.53, 1 Y 3.43, 1 Mg 3.62, 2 Pr 3.72
Pm 0.9240 0.9225 0.2655  3 Pm 3.37-3.53, 1 Y 3.43, 1 Mg 3.62, 2 Pr 3.72
Pm 0.5760 0.7345 0.0775  3 Pm 3.37-3.53, 1 Y 3.43, 1 Mg 3.62, 2 Pr 3.72
Pm 0.3302 0.0355 0.4654  1 Mg 3.27, 1 Pr 3.27, 3 Pm 3.38-3.55, 2 Y 3.53-3.59
Pm 0.1698 0.5346 0.9645  1 Mg 3.27, 1 Pr 3.27, 3 Pm 3.38-3.55, 2 Y 3.53-3.59
Pm 0.6698 0.9645 0.5346  1 Mg 3.27, 1 Pr 3.27, 3 Pm 3.38-3.55, 2 Y 3.53-3.59
Pm 0.8302 0.4654 0.0355  1 Mg 3.27, 1 Pr 3.27, 3 Pm 3.38-3.55, 2 Y 3.53-3.59
Pm 0.0955 0.6717 0.4318  2 Mg 3.24-3.43, 3 Pm 3.33-3.55, 2 Y 3.52
Pm 0.4045 0.5682 0.3283  2 Mg 3.24-3.43, 3 Pm 3.33-3.55, 2 Y 3.52
Pm 0.9045 0.3283 0.5682  2 Mg 3.24-3.43, 3 Pm 3.33-3.55, 2 Y 3.52
Pm 0.5955 0.4318 0.6717  2 Mg 3.24-3.43, 3 Pm 3.33-3.55, 2 Y 3.52
Pr 0.2500 0.9327 0.0673  2 Pm 3.27, 2 Y 3.38
Pr 0.7500 0.0673 0.9327  2 Pm 3.27, 2 Y 3.38
Y 0.4035 0.7978 0.7323  1 Mg 3.38, 2 Pr 3.38-3.73, 6 Pm 3.43-3.78
Y 0.0965 0.2677 0.2022  1 Mg 3.38, 2 Pr 3.38-3.73, 6 Pm 3.43-3.78
Y 0.5965 0.2022 0.2677  1 Mg 3.38, 2 Pr 3.38-3.73, 6 Pm 3.43-3.78
Y 0.9035 0.7323 0.7978  1 Mg 3.38, 2 Pr 3.38-3.73, 6 Pm 3.43-3.78
Mg 0.2500 0.4017 0.5983  8 Pm 3.24-3.62, 2 Y 3.38
Mg 0.7500 0.5983 0.4017  8 Pm 3.24-3.62, 2 Y 3.38


Computed, not measured: an optimized crystal structure of Pm2Pr6YMg at the PBE level of DFT.

Properties
Spin magnetization, μB/f.u.: 0.00
Space-group type: No. 15
Electronic total energy, eV/atom: -4.52
E_form, eV/atom: 0.104

Cell: 9.4075 9.1457 9.1457 Å, 118.37 92.38 92.38°
Closest atoms and distances in Å follow each position.
Fractional coordinates of all 20 atoms:
Pm 0.4520 0.7875 0.6806  5 Pr 3.22-3.49, 1 Y 3.47, 1 Mg 3.47
Pm 0.0480 0.3194 0.2125  5 Pr 3.22-3.49, 1 Y 3.47, 1 Mg 3.47
Pm 0.5480 0.2125 0.3194  5 Pr 3.22-3.49, 1 Y 3.47, 1 Mg 3.47
Pm 0.9520 0.6806 0.7875  5 Pr 3.22-3.49, 1 Y 3.47, 1 Mg 3.47
Pr 0.0522 0.1378 0.7819  1 Pm 3.47, 7 Pr 3.49-3.77, 2 Y 3.67-3.78
Pr 0.4478 0.2181 0.8622  1 Pm 3.47, 7 Pr 3.49-3.77, 2 Y 3.67-3.78
Pr 0.9478 0.8622 0.2181  1 Pm 3.47, 7 Pr 3.49-3.77, 2 Y 3.67-3.78
Pr 0.5522 0.7819 0.1378  1 Pm 3.47, 7 Pr 3.49-3.77, 2 Y 3.67-3.78
Pr 0.2962 0.0062 0.4302  5 Pr 3.41-3.77, 1 Mg 3.42, 1 Pm 3.44, 1 Y 3.61
Pr 0.2038 0.5698 0.9938  5 Pr 3.41-3.77, 1 Mg 3.42, 1 Pm 3.44, 1 Y 3.61
Pr 0.7038 0.9938 0.5698  5 Pr 3.41-3.77, 1 Mg 3.42, 1 Pm 3.44, 1 Y 3.61
Pr 0.7962 0.4302 0.0062  5 Pr 3.41-3.77, 1 Mg 3.42, 1 Pm 3.44, 1 Y 3.61
Pr 0.1047 0.7241 0.5003  3 Pm 3.22-3.49, 3 Pr 3.41-3.58, 2 Mg 3.46-3.49
Pr 0.3953 0.4997 0.2759  3 Pm 3.22-3.49, 3 Pr 3.41-3.58, 2 Mg 3.46-3.49
Pr 0.8953 0.2759 0.4997  3 Pm 3.22-3.49, 3 Pr 3.41-3.58, 2 Mg 3.46-3.49
Pr 0.6047 0.5003 0.7241  3 Pm 3.22-3.49, 3 Pr 3.41-3.58, 2 Mg 3.46-3.49
Y 0.2500 0.9768 0.0232  4 Pm 3.47-3.63, 6 Pr 3.61-3.78
Y 0.7500 0.0232 0.9768  4 Pm 3.47-3.63, 6 Pr 3.61-3.78
Mg 0.2500 0.4213 0.5787  6 Pr 3.42-3.49, 4 Pm 3.47-3.72
Mg 0.7500 0.5787 0.4213  6 Pr 3.42-3.49, 4 Pm 3.47-3.72


Computed, not measured: an optimized crystal structure of PmPrMgZr at the PBE level of DFT.

Properties
Spin magnetization, μB/f.u.: 1.61
Space-group type: No. 216
Electronic total energy, eV/atom: -4.79
E_form, eV/atom: 0.132

Cell: 5.4624 5.4624 5.4624 Å, 60.00 60.00 60.00°
Closest atoms and distances in Å follow each position.
Fractional coordinates of all 4 atoms:
Pr 0.2500 0.2500 0.2500  4 Zr 3.35, 4 Mg 3.35
Mg 0.5000 0.5000 0.5000  4 Pr 3.35, 4 Pm 3.35
Zr 0.0000 0.0000 0.0000  4 Pr 3.35, 4 Pm 3.35
Pm 0.7500 0.7500 0.7500  4 Zr 3.35, 4 Mg 3.35


Computed, not measured: an optimized crystal structure of Pm2MgPt at the PBE level of DFT.

Properties
Spin magnetization, μB/f.u.: 0.00
Space-group type: No. 123
Excess energy over the best structure of this formula in the dataset, eV/atom: 0.0000
Electronic total energy, eV/atom: -4.88
E_form, eV/atom: -0.598

Cell: 3.7167 3.7167 7.4739 Å, 90.00 90.00 90.00°
Closest atoms and distances in Å follow each position.
Fractional coordinates of all 4 atoms:
Mg 0.5000 0.5000 0.5000  8 Pm 3.35, 4 Mg 3.72, 2 Pt 3.74
Pt 0.5000 0.5000 0.0000  8 Pm 3.11
Pm 0.0000 0.0000 0.7785  4 Pt 3.11, 1 Pm 3.31, 4 Mg 3.35
Pm 0.0000 0.0000 0.2215  4 Pt 3.11, 1 Pm 3.31, 4 Mg 3.35


Computed, not measured: an optimized crystal structure of Pm2MgPt3 at the PBE level of DFT.

Properties
Spin magnetization, μB/f.u.: 0.00
Space-group type: No. 62
Excess energy over the best structure of this formula in the dataset, eV/atom: 0.0000
Electronic total energy, eV/atom: -5.89
E_form, eV/atom: -1.017

Cell: 3.9894 7.3168 17.6633 Å, 90.00 90.00 90.00°
Closest atoms and distances in Å follow each position.
Fractional coordinates of all 24 atoms:
Pm 0.2500 0.6427 0.5718  7 Pt 2.92-3.08
Pm 0.7500 0.8573 0.0718  7 Pt 2.92-3.08
Pm 0.2500 0.1427 0.9282  7 Pt 2.92-3.08
Pm 0.7500 0.3573 0.4282  7 Pt 2.92-3.08
Pm 0.2500 0.6028 0.7850  9 Pt 3.02-3.37
Pm 0.7500 0.8972 0.2850  9 Pt 3.02-3.37
Pm 0.2500 0.1028 0.7150  9 Pt 3.02-3.37
Pm 0.7500 0.3972 0.2150  9 Pt 3.02-3.37
Mg 0.2500 0.9831 0.4360  4 Pt 2.63-2.78
Mg 0.7500 0.5169 0.9360  4 Pt 2.63-2.78
Mg 0.2500 0.4831 0.0640  4 Pt 2.63-2.78
Mg 0.7500 0.0169 0.5640  4 Pt 2.63-2.78
Pt 0.2500 0.7475 0.9507  3 Mg 2.63-2.78, 1 Pm 2.92
Pt 0.7500 0.7525 0.4507  3 Mg 2.63-2.78, 1 Pm 2.92
Pt 0.2500 0.2475 0.5493  3 Mg 2.63-2.78, 1 Pm 2.92
Pt 0.7500 0.2525 0.0493  3 Mg 2.63-2.78, 1 Pm 2.92
Pt 0.2500 0.1033 0.1569  4 Pt 2.90-2.96, 4 Pm 3.08-3.11, 1 Mg 3.23
Pt 0.7500 0.3967 0.6569  4 Pt 2.90-2.96, 4 Pm 3.08-3.11, 1 Mg 3.23
Pt 0.2500 0.6033 0.3431  4 Pt 2.90-2.96, 4 Pm 3.08-3.11, 1 Mg 3.23
Pt 0.7500 0.8967 0.8431  4 Pt 2.90-2.96, 4 Pm 3.08-3.11, 1 Mg 3.23
Pt 0.2500 0.7045 0.1844  1 Mg 2.67, 2 Pt 2.90-2.96
Pt 0.7500 0.7955 0.6844  1 Mg 2.67, 2 Pt 2.90-2.96
Pt 0.2500 0.2045 0.3156  1 Mg 2.67, 2 Pt 2.90-2.96
Pt 0.7500 0.2955 0.8156  1 Mg 2.67, 2 Pt 2.90-2.96


Computed, not measured: an optimized crystal structure of Pm2MgPt3 at the PBE level of DFT.

Properties
Spin magnetization, μB/f.u.: 0.00
Space-group type: No. 123
Excess energy over the best structure of this formula in the dataset, eV/atom: 0.0319
Electronic total energy, eV/atom: -5.85
E_form, eV/atom: -0.985

Cell: 3.4709 3.4709 10.3548 Å, 90.00 90.00 90.00°
Closest atoms and distances in Å follow each position.
Fractional coordinates of all 6 atoms:
Pm 0.5000 0.5000 0.8181  8 Pt 3.06-3.09, 1 Mg 3.29
Pm 0.5000 0.5000 0.1819  8 Pt 3.06-3.09, 1 Mg 3.29
Mg 0.5000 0.5000 0.5000  8 Pt 2.86
Pt 0.0000 0.0000 0.0000  8 Pm 3.09
Pt 0.0000 0.0000 0.6422  4 Mg 2.86, 1 Pt 2.95, 4 Pm 3.06
Pt 0.0000 0.0000 0.3578  4 Mg 2.86, 1 Pt 2.95, 4 Pm 3.06


Computed, not measured: an optimized crystal structure of Pm3MgPt at the PBE level of DFT.

Properties
Spin magnetization, μB/f.u.: 0.00
Space-group type: No. 69
Electronic total energy, eV/atom: -4.86
E_form, eV/atom: -0.481

Cell: 6.8839 9.7786 9.7511 Å, 120.07 90.00 90.00°
Closest atoms and distances in Å follow each position.
Fractional coordinates of all 20 atoms:
Pm 0.9999 0.7047 0.9093  4 Pt 3.08-3.09, 2 Pm 3.44
Pm 0.0001 0.2953 0.0907  4 Pt 3.08-3.09, 2 Pm 3.44
Pm 0.4999 0.7953 0.0907  4 Pt 3.08-3.09, 2 Pm 3.44
Pm 0.5001 0.2047 0.9093  4 Pt 3.08-3.09, 2 Pm 3.44
Pm 0.5002 0.4160 0.7144  2 Pt 3.02, 2 Mg 3.32
Pm 0.4998 0.5840 0.2856  2 Pt 3.02, 2 Mg 3.32
Pm 0.0002 0.0840 0.2856  2 Pt 3.02, 2 Mg 3.32
Pm 0.9998 0.9160 0.7144  2 Pt 3.02, 2 Mg 3.32
Pm 0.0002 0.2983 0.7140  2 Pt 3.02, 2 Mg 3.32
Pm 0.9998 0.7017 0.2860  2 Pt 3.02, 2 Mg 3.32
Pm 0.5002 0.2018 0.2861  2 Pt 3.02, 2 Mg 3.32
Pm 0.4998 0.7982 0.7140  2 Pt 3.02, 2 Mg 3.32
Mg 0.7997 0.5002 0.5001  1 Mg 2.76
Mg 0.2003 0.4998 0.4999  1 Mg 2.76
Mg 0.2997 0.9998 0.4999  1 Mg 2.76
Mg 0.7003 0.0002 0.5001  1 Mg 2.76
Pt 0.2497 0.5001 0.0000  8 Pm 3.02-3.09
Pt 0.7503 0.4999 0.0000  8 Pm 3.02-3.09
Pt 0.7497 0.9999 0.0000  8 Pm 3.02-3.09
Pt 0.2503 0.0001 0.0000  8 Pm 3.02-3.09